# 1
A relaxed Li2ErTc2N4 crystal, computed with PBE.

Results
SG: C2/m, No. 12
DFT total energy (eV for the cell shown): -66.91
Total magnetic moment (μB/cell): 0.00

Unit cell a=3.263 b=7.102 c=8.023 alpha=138.22 beta=90.00 gamma=103.28
Atoms (fractional coordinates):
Li 0.838 0.677 0.446
Li 0.162 0.323 0.554
Er 0.000 0.000 0.000
Tc 0.358 0.715 0.099
Tc 0.642 0.285 0.901
N 0.776 0.553 0.865
N 0.224 0.447 0.135
N 0.556 0.112 0.274
N 0.444 0.888 0.726

---

# 2
A relaxed NiI crystal, computed with PBE.

Results
SG: P4/m, No. 83
DFT total energy (eV for the cell shown): -57.04
Total magnetic moment (μB/cell): 7.43

Unit cell a=10.569 b=10.569 c=4.011 alpha=90.00 beta=90.00 gamma=90.00
Last column: magnetic moment on the atom in μB.
Atoms (fractional coordinates):
Ni 0.828 0.618 0.500  0.74
Ni 0.172 0.382 0.500  0.74
Ni 0.382 0.828 0.500  0.74
Ni 0.618 0.172 0.500  0.74
Ni 0.880 0.467 0.000  0.79
Ni 0.120 0.533 0.000  0.79
Ni 0.533 0.880 0.000  0.79
Ni 0.467 0.120 0.000  0.79
I 0.744 0.390 0.500  0.14
I 0.256 0.610 0.500  0.14
I 0.610 0.744 0.500  0.14
I 0.390 0.256 0.500  0.14
I 0.942 0.707 0.000  0.12
I 0.058 0.293 0.000  0.12
I 0.293 0.942 0.000  0.12
I 0.707 0.058 0.000  0.12

---

# 3
A relaxed NaSb2AsO8 crystal, computed with PBE.

Results
SG: P2/m, No. 10
DFT total energy (eV for the cell shown): -69.17
Total magnetic moment (μB/cell): 0.00

Unit cell a=4.718 b=4.707 c=6.291 alpha=90.00 beta=90.00 gamma=85.99
Atoms (fractional coordinates):
Na 0.000 0.000 0.500
Sb 0.500 0.500 0.750
Sb 0.500 0.500 0.250
As 0.000 0.000 0.000
O 0.189 0.808 0.215
O 0.699 0.704 0.000
O 0.811 0.192 0.215
O 0.811 0.192 0.785
O 0.301 0.296 0.000
O 0.189 0.808 0.785
O 0.680 0.682 0.500
O 0.320 0.318 0.500

---

# 4
A relaxed MoH2Ir2 crystal, computed with PBE.

Results
SG: P4/mbm, No. 127
Distance to the lowest polymorph of the same formula (meV per atom): 0
Total magnetic moment (μB/cell): 0.00

Unit cell a=6.129 b=6.129 c=2.832 alpha=90.00 beta=90.00 gamma=90.00
Atoms (fractional coordinates):
H 0.277 0.777 0.000
H 0.777 0.723 0.000
H 0.723 0.223 0.000
H 0.223 0.277 0.000
Mo 0.000 0.000 0.000
Mo 0.500 0.500 0.000
Ir 0.148 0.648 0.500
Ir 0.648 0.852 0.500
Ir 0.852 0.352 0.500
Ir 0.352 0.148 0.500

---

# 5
A relaxed BaYVFe2 crystal, computed with PBE.

Results
Formation energy from the elements (eV/atom): 0.967
SG: P4/mmm, No. 123
Total magnetic moment (μB/cell): 0.02

Unit cell a=4.601 b=5.101 c=4.601 alpha=90.00 beta=90.00 gamma=90.00
Atoms (fractional coordinates):
Y 0.000 0.500 0.000
V 0.000 0.000 0.000
Ba 0.500 0.500 0.500
Fe 0.000 0.000 0.500
Fe 0.500 0.000 0.000

---

# 6
A relaxed ZnCr4Te crystal, computed with PBE.

Results
SG: F-43m, No. 216
DFT total energy (eV for the cell shown): -39.97
Total magnetic moment (μB/cell): 0.00

Unit cell a=4.905 b=4.905 c=4.905 alpha=60.00 beta=60.00 gamma=60.00
Atoms (fractional coordinates):
Zn 0.000 0.000 0.000
Cr 0.880 0.373 0.373
Cr 0.373 0.373 0.880
Cr 0.373 0.880 0.373
Cr 0.373 0.373 0.373
Te 0.750 0.750 0.750